[1]
Here is PrMnCu after structural relaxation from Alexandria via LeMat-Bulk. Energies are from GGA-PBE.

Properties
E	-5.734	eV/atom
formation enthalpy at 0 K	0.28	eV per atom

Cell lengths 5.2740, 5.3276, 10.2260 Å; angles 82.67, 75.06, 60.33 degrees
Site moments in Bohr magnetons follow the coordinates.
Atoms (fractional coordinates):
Mn1 0.3292 0.5000 0.3416  3.78
Mn2 0.4208 0.0000 0.1584  3.78
Mn3 0.5792 0.0000 0.8416  3.78
Mn4 0.1708 0.5000 0.6584  3.78
Cu1 0.1247 0.0000 0.7506  0.04
Cu2 0.6253 0.5000 0.7494  0.04
Cu3 0.8753 0.0000 0.2494  0.04
Cu4 0.8747 0.5000 0.2506  0.04
Pr1 0.1681 0.6638 0.0000  -0.34
Pr2 0.5819 0.8362 0.5000  -0.34
Pr3 0.8319 0.3362 0.0000  -0.34
Pr4 0.9181 0.1638 0.5000  -0.34


[2]
Here is V2IrSe after structural relaxation from Alexandria via LeMat-Bulk. Energies are from GGA-PBE.

Properties
E	-7.424	eV/atom
E_form (uncorrected)	21	kJ per mole of atoms

Cell lengths 5.6988, 5.6988, 6.6825 Å; angles 64.76, 64.76, 90.00 degrees
Site moments in Bohr magnetons follow the coordinates.
Atoms (fractional coordinates):
Se1 0.5000 0.5000 0.0000  -0.06
Se2 0.2500 0.7500 0.5000  -0.06
V1 0.1127 0.6250 0.2500  1.38
V2 0.6373 0.1250 0.2500  1.38
V3 0.3750 0.3627 0.7500  1.38
V4 0.8750 0.8873 0.7500  1.38
Ir1 0.0000 0.0000 0.0000  -0.26
Ir2 0.7500 0.2500 0.5000  -0.26


[3]
Here is PrGdSi after structural relaxation from Alexandria via LeMat-Bulk. Energies are from GGA-PBE.

Properties
E	-8.540	eV/atom
offset from the most stable computed form	0	meV/atom
E_form (uncorrected)	-43	kJ per mole of atoms

Cell lengths 4.9788, 4.9788, 4.9788 Å; angles 60.00, 60.00, 60.00 degrees
Site moments in Bohr magnetons follow the coordinates.
Atoms (fractional coordinates):
Si1 0.2500 0.2500 0.2500  0.04
Pr1 0.5000 0.5000 0.5000  -0.14
Gd1 0.0000 0.0000 0.0000  -7.22


[4]
Here is Te4Pt3 after structural relaxation from Alexandria via LeMat-Bulk. Energies are from GGA-PBE.

Properties
E	-4.252	eV/atom
offset from the most stable computed form	518	meV/atom
E_form (uncorrected)	13	kJ per mole of atoms

Cell lengths 6.4129, 6.4129, 7.5773 Å; angles 97.13, 97.13, 44.62 degrees
Atoms (fractional coordinates):
Te1 0.2134 0.2134 0.1062
Te2 0.3892 0.3892 0.5453
Te3 0.6108 0.6108 0.4547
Te4 0.7866 0.7866 0.8938
Pt1 0.0000 0.0000 0.0000
Pt2 0.0615 0.0615 0.3531
Pt3 0.9385 0.9385 0.6469


[5]
Here is Rb2SmInO4 after structural relaxation from Alexandria via LeMat-Bulk. Energies are from GGA-PBE.

Properties
E	-5.576	eV/atom
E_form (uncorrected)	-186	kJ per mole of atoms

Cell lengths 7.3016, 7.3017, 7.3598 Å; angles 120.26, 120.26, 90.36 degrees
Atoms (fractional coordinates):
In1 0.5000 0.5000 0.5000
In2 0.0000 0.0000 0.0000
O1 0.8140 0.2683 0.0412
O2 0.2328 0.2674 0.4502
O3 0.7683 0.3140 0.5412
O4 0.7674 0.7328 0.9502
O5 0.2326 0.2672 0.0498
O6 0.2317 0.6860 0.4588
O7 0.1860 0.7317 0.9588
O8 0.7672 0.7326 0.5498
Sm1 0.0000 0.5000 0.5000
Sm2 0.0000 0.5000 0.0000
Rb1 0.5000 0.0000 0.5000
Rb2 0.5000 0.5000 0.0000
Rb3 0.0000 0.0000 0.5000
Rb4 0.5000 0.0000 0.0000


[6]
Here is Ho2Ga4IrPt3 after structural relaxation from Alexandria via LeMat-Bulk. Energies are from GGA-PBE.

Properties
E	-5.724	eV/atom
formation enthalpy at 0 K	-0.90	eV per atom

Cell lengths 4.1359, 4.1359, 10.8096 Å; angles 90.00, 90.00, 90.00 degrees
Atoms (fractional coordinates):
Ir1 0.5000 0.5000 0.5000
Pt1 0.0000 0.5000 0.1403
Pt2 0.5000 0.0000 0.8597
Pt3 0.0000 0.0000 0.5000
Ga1 0.0000 0.5000 0.3684
Ga2 0.0000 0.0000 0.0000
Ga3 0.5000 0.0000 0.6316
Ga4 0.5000 0.5000 0.0000
Ho1 0.0000 0.5000 0.7393
Ho2 0.5000 0.0000 0.2607


[7]
Here is Zr2PtAu after structural relaxation from Alexandria via LeMat-Bulk. Energies are from GGA-PBE.

Properties
E	-6.937	eV/atom
formation enthalpy at 0 K	-0.33	eV per atom

Cell lengths 7.6263, 7.6263, 6.1024 Å; angles 51.33, 51.33, 90.00 degrees
Atoms (fractional coordinates):
Zr1 0.3750 0.3952 0.7500
Zr2 0.8750 0.8548 0.7500
Zr3 0.6048 0.1250 0.2500
Zr4 0.1452 0.6250 0.2500
Pt1 0.5000 0.5000 0.0000
Pt2 0.2500 0.7500 0.5000
Au1 0.7500 0.2500 0.5000
Au2 0.0000 0.0000 0.0000


[8]
Here is NaTlNO after structural relaxation from Alexandria via LeMat-Bulk. Energies are from GGA-PBE.

Properties
E	-4.152	eV/atom
offset from the most stable computed form	211	meV/atom
E_form (uncorrected)	9	kJ per mole of atoms

Cell lengths 6.0502, 3.3118, 6.2351 Å; angles 90.00, 101.96, 90.00 degrees
Site moments in Bohr magnetons follow the coordinates.
Atoms (fractional coordinates):
O1 0.2004 0.0000 0.9117  0.16
O2 0.2004 0.5000 0.4117  0.16
Tl1 0.4499 0.5000 0.9048  0.01
Tl2 0.4499 0.0000 0.4048  0.01
Na1 0.9522 0.5000 0.6633  0.00
Na2 0.9522 0.0000 0.1633  0.00
N1 0.6530 0.0000 0.7741  0.57
N2 0.6530 0.5000 0.2741  0.57


[9]
Here is MgAlPt after structural relaxation from Alexandria via LeMat-Bulk. Energies are from GGA-PBE.

Properties
E	-4.500	eV/atom
formation enthalpy at 0 K	-0.71	eV per atom

Cell lengths 4.3699, 4.3699, 3.0218 Å; angles 90.00, 90.00, 120.00 degrees
Atoms (fractional coordinates):
Al1 0.0000 0.0000 0.8333
Pt1 0.3333 0.6667 0.8331
Mg1 0.6667 0.3333 0.3337


[10]
Here is HoMg2Sc4 after structural relaxation from Alexandria via LeMat-Bulk. Energies are from GGA-PBE.

Properties
E	-4.694	eV/atom
formation enthalpy at 0 K	0.03	eV per atom
offset from the most stable computed form	0	meV/atom

Cell lengths 3.2306, 4.8511, 11.4529 Å; angles 102.23, 90.00, 90.00 degrees
Atoms (fractional coordinates):
Sc1 0.0000 0.6497 0.2994
Sc2 0.5000 0.9250 0.8500
Sc3 0.5000 0.0750 0.1500
Sc4 0.0000 0.3503 0.7006
Ho1 0.0000 0.5000 0.0000
Mg1 0.5000 0.7865 0.5729
Mg2 0.5000 0.2135 0.4271


[11]
Here is TlBiPdN2 after structural relaxation from Alexandria via LeMat-Bulk. Energies are from GGA-PBE.

Properties
E	-4.205	eV/atom
E_form (uncorrected)	136	kJ per mole of atoms

Cell lengths 4.3740, 5.4181, 4.3740 Å; angles 90.00, 90.00, 90.00 degrees
Atoms (fractional coordinates):
N1 0.0000 0.0000 0.5000
N2 0.5000 0.0000 0.0000
Pd1 0.0000 0.5000 0.0000
Tl1 0.5000 0.5000 0.5000
Bi1 0.0000 0.0000 0.0000